1.
A relaxed PrHo4Al crystal, computed with PBE.

Cell lengths 3.5617, 3.5617, 13.9420 Å; angles 90.00, 90.00, 90.00 degrees
Closest atoms and distances in Å follow each position.
Positions (direct):
Pr  0.0000  0.0000  0.0000  4 Pr 3.56, 8 Ho 3.60
Ho  0.0000  0.0000  0.3669  4 Al 3.13
Ho  0.0000  0.0000  0.6331  4 Al 3.13
Ho  0.5000  0.5000  0.1849  8 Ho 3.56-3.57, 4 Pr 3.60
Ho  0.5000  0.5000  0.8151  8 Ho 3.56-3.57, 4 Pr 3.60
Al  0.5000  0.5000  0.5000  8 Ho 3.13

electronic total energy	-4.5875	eV/atom
crystal system	tetragonal
energy relative to the lowest polymorph listed for this composition	0.000	eV/atom

---

2.
A relaxed Si2Ag crystal, computed with PBE.

Cell lengths 5.1378, 5.1378, 5.1378 Å; angles 107.54, 107.54, 113.41 degrees
Closest atoms and distances in Å follow each position.
Positions (direct):
Si  0.1404  0.6404  0.7808  1 Si 2.41
Si  0.3596  0.1404  0.5000  1 Si 2.41
Si  0.6404  0.8596  0.5000  1 Si 2.41
Si  0.8596  0.3596  0.2192  1 Si 2.41
Ag  0.2500  0.2500  0.0000  8 Si 2.74, 2 Ag 2.82
Ag  0.7500  0.7500  0.0000  8 Si 2.74, 2 Ag 2.82

uncorrected formation energy	0.543	eV per atom
electronic total energy	-4.0228	eV/atom
crystal system	tetragonal
energy relative to the lowest polymorph listed for this composition	0.228	eV/atom

---

| no. | total moment (μB/atom) |
| --- | --- |
| 1 | 0.000 |
| 2 | 0.000 |